# 1
Entry from Alexandria: La2IrO6 after structural relaxation (GGA-PBE).

Structure (CIF):
```
data_La2IrO6
_symmetry_space_group_name_H-M 'P 1'
_symmetry_Int_Tables_number 1
_cell_length_a 3.7805
_cell_length_b 5.5934
_cell_length_c 6.5997
_cell_angle_alpha 115.07
_cell_angle_beta 106.64
_cell_angle_gamma 90.00
loop_
_symmetry_equiv_pos_as_xyz
'x,y,z'
loop_
_atom_site_label
_atom_site_type_symbol
_atom_site_fract_x
_atom_site_fract_y
_atom_site_fract_z
La1 La 0.6674 0.6675 0.3349
La2 La 0.3326 0.3325 0.6651
Ir1 Ir 0.0000 0.0000 0.0000
O1 O 0.1444 0.3719 0.2888
O2 O 0.8556 0.0831 0.7112
O3 O 0.8556 0.6281 0.7112
O4 O 0.5000 0.2000 0.0000
O5 O 0.1444 0.9169 0.2888
O6 O 0.5000 0.8000 0.0000
```

Computed properties:
As for the relative energy among the computed polymorphs: 0.269 eV/atom. Its size of the total moment is 0.084 μB/atom. As for the symmetry: Immm (71). As for the volume: 119.9 Å³/cell. The total energy is -7.37 eV per atom.

---

# 2
Entry from Alexandria: CsLaGe2Br8 after structural relaxation (GGA-PBE).

Structure (CIF):
```
data_CsLaGe2Br8
_symmetry_space_group_name_H-M 'P 1'
_symmetry_Int_Tables_number 1
_cell_length_a 7.3924
_cell_length_b 6.7834
_cell_length_c 10.4561
_cell_angle_alpha 90.56
_cell_angle_beta 85.59
_cell_angle_gamma 84.20
loop_
_symmetry_equiv_pos_as_xyz
'x,y,z'
loop_
_atom_site_label
_atom_site_type_symbol
_atom_site_fract_x
_atom_site_fract_y
_atom_site_fract_z
Cs1 Cs 0.0000 0.0000 0.5000
La1 La 0.0000 0.0000 0.0000
Ge1 Ge 0.4568 0.4465 0.7905
Ge2 Ge 0.5432 0.5535 0.2095
Br1 Br 0.1772 0.7647 0.1954
Br2 Br 0.6759 0.7605 0.0238
Br3 Br 0.8531 0.2746 0.2139
Br4 Br 0.8228 0.2353 0.8046
Br5 Br 0.3241 0.2395 0.9762
Br6 Br 0.1469 0.7254 0.7861
Br7 Br 0.6056 0.7475 0.3969
Br8 Br 0.3944 0.2525 0.6031
```

Computed properties:
Its size of the total moment is 0.000 μB/atom. As for the symmetry: P-1 (2). As for the volume: 520.0 Å³/cell. The total energy is -3.59 eV per atom.

---

# 3
Entry from Alexandria: TaTe4W after structural relaxation (GGA-PBE).

Structure (CIF):
```
data_TaTe4W
_symmetry_space_group_name_H-M 'P 1'
_symmetry_Int_Tables_number 1
_cell_length_a 6.0049
_cell_length_b 6.0049
_cell_length_c 6.0049
_cell_angle_alpha 60.00
_cell_angle_beta 60.00
_cell_angle_gamma 60.00
loop_
_symmetry_equiv_pos_as_xyz
'x,y,z'
loop_
_atom_site_label
_atom_site_type_symbol
_atom_site_fract_x
_atom_site_fract_y
_atom_site_fract_z
Ta1 Ta 0.0000 0.0000 0.0000
Te1 Te 0.8747 0.3751 0.3751
Te2 Te 0.3751 0.3751 0.8747
Te3 Te 0.3751 0.8747 0.3751
Te4 Te 0.3751 0.3751 0.3751
W1 W 0.7500 0.7500 0.7500
```

Computed properties:
As for the relative energy among the computed polymorphs: 1.980 eV/atom. Its size of the total moment is 0.185 μB/atom. As for the symmetry: F-43m (216). As for the volume: 153.1 Å³/cell. The total energy is -4.47 eV per atom.

---

# 4
Entry from Alexandria: Li5Zn2Pd12 after structural relaxation (GGA-PBE).

Structure (CIF):
```
data_Li5Zn2Pd12
_symmetry_space_group_name_H-M 'P 1'
_symmetry_Int_Tables_number 1
_cell_length_a 5.5138
_cell_length_b 8.6473
_cell_length_c 6.5956
_cell_angle_alpha 74.34
_cell_angle_beta 90.00
_cell_angle_gamma 108.59
loop_
_symmetry_equiv_pos_as_xyz
'x,y,z'
loop_
_atom_site_label
_atom_site_type_symbol
_atom_site_fract_x
_atom_site_fract_y
_atom_site_fract_z
Li1 Li 0.2477 0.4953 0.5077
Li2 Li 0.3462 0.6923 0.0919
Li3 Li 0.0000 0.0000 0.5000
Li4 Li 0.6538 0.3077 0.9081
Li5 Li 0.7523 0.5047 0.4923
Zn1 Zn 0.7544 0.0000 0.0000
Zn2 Zn 0.2456 0.0000 0.0000
Pd1 Pd 0.1418 0.2835 0.9266
Pd2 Pd 0.0479 0.5968 0.7924
Pd3 Pd 0.5489 0.5968 0.7924
Pd4 Pd 0.1506 0.7908 0.3854
Pd5 Pd 0.6402 0.7908 0.3854
Pd6 Pd 0.4511 0.9021 0.7063
Pd7 Pd 0.5489 0.0979 0.2937
Pd8 Pd 0.8494 0.2092 0.6146
Pd9 Pd 0.3598 0.2092 0.6146
Pd10 Pd 0.9521 0.4032 0.2076
Pd11 Pd 0.4511 0.4032 0.2076
Pd12 Pd 0.8582 0.7165 0.0734
```

Computed properties:
Its size of the total moment is 0.000 μB/atom. As for the symmetry: C2/m (12). As for the volume: 285.7 Å³/cell. For the formation enthalpy at 0 K, the calculation gives -0.2768 eV per atom. The total energy is -4.19 eV per atom.

---

# 5
Entry from Alexandria: LiTl7Bi3 after structural relaxation (GGA-PBE).

Structure (CIF):
```
data_LiTl7Bi3
_symmetry_space_group_name_H-M 'P 1'
_symmetry_Int_Tables_number 1
_cell_length_a 8.1708
_cell_length_b 7.0551
_cell_length_c 7.0551
_cell_angle_alpha 120.00
_cell_angle_beta 90.00
_cell_angle_gamma 90.00
loop_
_symmetry_equiv_pos_as_xyz
'x,y,z'
loop_
_atom_site_label
_atom_site_type_symbol
_atom_site_fract_x
_atom_site_fract_y
_atom_site_fract_z
Li1 Li 0.4673 0.3333 0.6667
Tl1 Tl 0.1098 0.1643 0.8357
Tl2 Tl 0.1098 0.1643 0.3286
Tl3 Tl 0.1131 0.6667 0.3333
Tl4 Tl 0.4600 0.8386 0.1614
Tl5 Tl 0.4600 0.3229 0.1614
Tl6 Tl 0.4600 0.8386 0.6771
Tl7 Tl 0.1098 0.6714 0.8357
Bi1 Bi 0.7750 0.4937 0.5063
Bi2 Bi 0.7750 0.4937 0.9874
Bi3 Bi 0.7750 0.0126 0.5063
```

Computed properties:
Its size of the total moment is 0.000 μB/atom. As for the symmetry: P3m1 (156). As for the volume: 352.2 Å³/cell. For the formation enthalpy at 0 K, the calculation gives 0.0059 eV per atom. The total energy is -2.73 eV per atom.

---

# 6
Entry from Alexandria: LiMg7Au4 after structural relaxation (GGA-PBE).

Structure (CIF):
```
data_LiMg7Au4
_symmetry_space_group_name_H-M 'P 1'
_symmetry_Int_Tables_number 1
_cell_length_a 4.8519
_cell_length_b 8.1705
_cell_length_c 6.9716
_cell_angle_alpha 78.44
_cell_angle_beta 69.64
_cell_angle_gamma 72.73
loop_
_symmetry_equiv_pos_as_xyz
'x,y,z'
loop_
_atom_site_label
_atom_site_type_symbol
_atom_site_fract_x
_atom_site_fract_y
_atom_site_fract_z
Li1 Li 0.0000 0.0000 0.0000
Mg1 Mg 0.7862 0.8701 0.5575
Mg2 Mg 0.2138 0.1299 0.4425
Mg3 Mg 0.0723 0.6501 0.2054
Mg4 Mg 0.9277 0.3499 0.7946
Mg5 Mg 0.3351 0.6063 0.7235
Mg6 Mg 0.5000 0.0000 0.0000
Mg7 Mg 0.6649 0.3937 0.2765
Au1 Au 0.5684 0.2133 0.6498
Au2 Au 0.4316 0.7867 0.3502
Au3 Au 0.7000 0.6653 0.9348
Au4 Au 0.3000 0.3347 0.0652
```

Computed properties:
Its size of the total moment is 0.000 μB/atom. As for the symmetry: C2/m (12). As for the volume: 246.0 Å³/cell. For the formation enthalpy at 0 K, the calculation gives -0.3752 eV per atom. The total energy is -2.56 eV per atom.